Y2ZrCo: relaxed, GGA-PBE.

The structure in POSCAR format:
```
Y2ZrCo
1.0
8.081 0.000 0.000
0.000 8.081 0.000
0.000 0.000 5.924
Y Zr Co
8 4 4
Direct
0.180 0.750 0.125
0.250 0.180 0.875
0.250 0.320 0.375
0.320 0.750 0.625
0.680 0.250 0.625
0.750 0.680 0.375
0.750 0.820 0.875
0.820 0.250 0.125
0.000 0.000 0.500
0.000 0.500 0.750
0.500 0.000 0.250
0.500 0.500 0.000
0.000 0.000 0.000
0.000 0.500 0.250
0.500 0.000 0.750
0.500 0.500 0.500
```

Values from the calculation:
- calculated density (Mg/m³) = 5.631
- size of the total moment (μB/atom) = 0.000
- offset from the most stable computed form (eV/f.u.) = 1.56
- total energy (eV per atom) = -6.875
- energy of formation from the pure elements (meV per atom) = 271